# 1
This record from Alexandria via LeMat-Bulk describes a geometry-optimized In5Sn3Bi12 structure. The functional is PBE.

The structure in POSCAR format:
```
In5Sn3Bi12
1.0
-9.102 9.102 9.102
9.102 -9.102 9.102
9.102 9.102 -9.102
In Sn Bi
20 12 48
direct
0.000 0.000 0.000
0.000 0.000 0.500
0.000 0.500 0.000
0.000 0.500 0.500
0.125 0.750 0.875
0.125 0.875 0.250
0.250 0.125 0.875
0.250 0.625 0.375
0.375 0.250 0.625
0.375 0.625 0.750
0.500 0.000 0.000
0.500 0.000 0.500
0.500 0.500 0.000
0.500 0.500 0.500
0.625 0.375 0.250
0.625 0.750 0.375
0.750 0.375 0.625
0.750 0.875 0.125
0.875 0.125 0.750
0.875 0.250 0.125
0.125 0.250 0.375
0.125 0.375 0.750
0.250 0.375 0.125
0.250 0.875 0.625
0.375 0.125 0.250
0.375 0.750 0.125
0.625 0.250 0.875
0.625 0.875 0.750
0.750 0.125 0.375
0.750 0.625 0.875
0.875 0.625 0.250
0.875 0.750 0.625
0.064 0.235 0.144
0.064 0.329 0.919
0.081 0.644 0.409
0.081 0.936 0.671
0.091 0.735 0.671
0.091 0.856 0.419
0.144 0.064 0.235
0.144 0.581 0.909
0.171 0.235 0.591
0.171 0.436 0.581
0.235 0.144 0.064
0.235 0.591 0.171
0.265 0.329 0.909
0.265 0.436 0.356
0.329 0.909 0.265
0.329 0.919 0.064
0.356 0.265 0.436
0.356 0.591 0.919
0.409 0.081 0.644
0.409 0.829 0.765
0.419 0.091 0.856
0.419 0.829 0.564
0.436 0.356 0.265
0.436 0.581 0.171
0.564 0.419 0.829
0.564 0.644 0.735
0.581 0.171 0.436
0.581 0.909 0.144
0.591 0.171 0.235
0.591 0.919 0.356
0.644 0.409 0.081
0.644 0.735 0.564
0.671 0.081 0.936
0.671 0.091 0.735
0.735 0.564 0.644
0.735 0.671 0.091
0.765 0.409 0.829
0.765 0.856 0.936
0.829 0.564 0.419
0.829 0.765 0.409
0.856 0.419 0.091
0.856 0.936 0.765
0.909 0.144 0.581
0.909 0.265 0.329
0.919 0.064 0.329
0.919 0.356 0.591
0.936 0.671 0.081
0.936 0.765 0.856
```

Properties
* space-group type: No. 230
* uncorrected energy: -3.363 eV/atom
* theoretical density: 7.57 g/cm³

***

# 2
This record from Alexandria via LeMat-Bulk describes a geometry-optimized InSn3Bi structure. The functional is PBE.

The structure in POSCAR format:
```
InSn3Bi
1.0
9.028 0.000 0.000
0.000 8.204 0.000
0.000 0.000 7.960
In Sn Bi
4 12 4
direct
0.128 0.250 0.190
0.372 0.750 0.690
0.628 0.250 0.310
0.872 0.750 0.810
0.120 0.750 0.192
0.151 0.001 0.872
0.151 0.499 0.872
0.349 0.501 0.372
0.349 0.999 0.372
0.380 0.250 0.692
0.620 0.750 0.308
0.651 0.001 0.628
0.651 0.499 0.628
0.849 0.501 0.128
0.849 0.999 0.128
0.880 0.250 0.808
0.000 0.000 0.500
0.000 0.500 0.500
0.500 0.000 0.000
0.500 0.500 0.000
```

Properties
* polymorph energy (0 for the lowest one): 0.025 eV/atom
* space-group type: No. 62
* theoretical density: 7.66 g/cm³

***

# 3
This record from Alexandria via LeMat-Bulk describes a geometry-optimized InSnBi structure. The functional is PBE.

The structure in POSCAR format:
```
InSnBi
1.0
9.195 0.000 0.000
0.000 3.395 0.000
0.000 0.000 11.498
In Sn Bi
4 4 4
direct
0.053 0.250 0.141
0.447 0.750 0.641
0.553 0.250 0.359
0.947 0.750 0.859
0.124 0.250 0.641
0.376 0.750 0.141
0.624 0.250 0.859
0.876 0.750 0.359
0.218 0.750 0.402
0.282 0.250 0.902
0.718 0.750 0.098
0.782 0.250 0.598
```

Properties
* polymorph energy (0 for the lowest one): 0.000 eV/atom
* space-group type: No. 62
* theoretical density: 8.19 g/cm³

***

# 4
This record from Alexandria via LeMat-Bulk describes a geometry-optimized In2Sn3Bi2 structure. The functional is PBE.

The structure in POSCAR format:
```
In2Sn3Bi2
1.0
5.795 0.000 0.000
0.000 10.599 0.000
-5.526 0.000 6.739
In Sn Bi
4 6 4
direct
0.174 0.232 0.185
0.174 0.268 0.685
0.826 0.732 0.315
0.826 0.768 0.815
0.000 0.000 0.500
0.000 0.500 0.000
0.415 0.634 0.409
0.415 0.866 0.909
0.585 0.134 0.091
0.585 0.366 0.591
0.281 0.572 0.770
0.281 0.928 0.270
0.719 0.072 0.730
0.719 0.428 0.230
```

Properties
* space-group type: No. 14
* uncorrected energy: -3.521 eV/atom
* theoretical density: 8.05 g/cm³

***

no.,V (Å³/cell)
1,3016
2,590
3,359
4,414